No. 1
Crystalline Ce5TlHg2 at its relaxed geometry. Source: Alexandria, functional PBE-GGA.

abc: 6.636 6.636 6.636
angles: 108.12 108.12 112.20
Each line ends with the local moment (μB).
Atoms (fractional coordinates):
Ce  0.278  0.778  0.000  0.95
Ce  0.778  0.278  0.000  0.95
Ce  0.278  0.277  0.000  1.15
Ce  0.778  0.778  0.500  0.95
Ce  0.278  0.278  0.500  0.95
Hg  0.778  0.278  0.500  0.01
Hg  0.278  0.778  0.500  0.01
Tl  0.778  0.778  0.000  0.00

Calculated values
Space group = I4/mmm
Energy of formation = -0.166 eV/atom
M_tot = 6.71 μB per formula unit
E_tot = -4.25 eV/atom
Polymorph energy (0 for the lowest one) = 0 kJ/mol of formula units


No. 2
Crystalline DyMg2Ti3S8 at its relaxed geometry. Source: Alexandria, functional PBE-GGA.

abc: 7.575 7.575 7.576
angles: 58.07 58.06 58.06
Each line ends with the local moment (μB).
Atoms (fractional coordinates):
Ti  0.500  0.500  0.000  0.79
Ti  0.000  0.500  0.500  0.78
Ti  0.500  0.000  0.500  0.78
Mg  0.872  0.872  0.872  0.01
Mg  0.128  0.128  0.128  0.01
S  0.754  0.754  0.273  -0.02
S  0.259  0.260  0.260  -0.02
S  0.273  0.754  0.754  -0.02
S  0.741  0.740  0.740  -0.02
S  0.727  0.246  0.246  -0.02
S  0.754  0.273  0.754  -0.02
S  0.246  0.246  0.727  -0.02
S  0.246  0.727  0.246  -0.02
Dy  0.500  0.500  0.500  0.03

Calculated values
Space group = R-3m
ΔE_f (raw) = -1956 kJ/mol of formula units
M_tot = 2.86 μB per formula unit
E_tot = -6.06 eV/atom


No. 3
Crystalline Ho8GaAs3Se4 at its relaxed geometry. Source: Alexandria, functional PBE-GGA.

abc: 8.185 8.195 8.185
angles: 119.96 120.00 90.00
Atoms (fractional coordinates):
Se  0.500  0.000  0.500
Se  0.000  0.000  0.000
Se  0.500  0.000  0.000
Se  0.000  0.000  0.500
Ho  0.756  0.262  0.511
Ho  0.244  0.739  0.994
Ho  0.756  0.261  0.006
Ho  0.254  0.263  0.508
Ho  0.250  0.261  0.006
Ho  0.746  0.737  0.492
Ho  0.750  0.739  0.994
Ho  0.244  0.738  0.489
Ga  0.000  0.500  0.000
As  0.000  0.500  0.500
As  0.500  0.500  0.000
As  0.500  0.500  0.500

Calculated values
Space group = R-3m
ΔE_f (raw) = -2417 kJ/mol of formula units
M_tot = 0.00 μB per formula unit
E_tot = -5.79 eV/atom


No. 4
Crystalline MoSe2Br at its relaxed geometry. Source: Alexandria, functional PBE-GGA.

abc: 6.349 3.879 3.879
angles: 90.00 90.00 90.00
Each line ends with the local moment (μB).
Atoms (fractional coordinates):
Mo  0.500  0.000  0.500  3.41
Se  0.000  0.500  0.500  -0.01
Se  0.000  0.000  0.000  -0.01
Br  0.500  0.500  0.000  0.03

Calculated values
Space group = P4/mmm
ΔE_f (raw) = 265 kJ/mol of formula units
M_tot = 4.01 μB per formula unit
E_tot = -4.18 eV/atom
Polymorph energy (0 for the lowest one) = 373 kJ/mol of formula units